{
  "formula": "SiBiNO2",
  "functional": "PBE",
  "state": "relaxed",
  "magnetic_moment_mub_per_cell": 0.0,
  "dft_energy_ev_per_atom": -6.573,
  "e_form_raw_ev_per_atom": -1.064,
  "lattice": [[-1.8592, -0.5087, -3.1060], [3.1405, -0.5378, -1.7918], [-0.2196, -3.7863, 0.7516]],
  "species": ["Si", "Bi", "O", "O", "N"],
  "frac_coords": [[0.0000, 0.0000, 0.0000], [0.5000, 0.5000, 0.5000], [0.0000, 0.5000, 0.0000], [0.5000, 0.0000, 0.0000], [0.0000, 0.0000, 0.5000]]
}



{
  "formula": "SrBiN2O",
  "functional": "PBE",
  "state": "relaxed",
  "magnetic_moment_mub_per_cell": 0.7,
  "dft_energy_ev_per_atom": -5.382,
  "e_form_raw_ev_per_atom": 0.053,
  "lattice": [[-4.1650, -0.3340, 1.1210], [1.1590, -1.7396, 3.7877], [0.1606, 4.0020, 1.7889]],
  "species": ["Sr", "Bi", "O", "N", "N"],
  "frac_coords": [[0.5000, 0.5000, 0.5000], [0.0000, 0.0000, 0.0000], [0.0000, 0.0000, 0.5000], [0.0000, 0.5000, 0.0000], [0.5000, 0.0000, 0.0000]]
}



{
  "formula": "SrBiN2O",
  "functional": "PBE",
  "state": "relaxed",
  "magnetic_moment_mub_per_cell": 0.5,
  "dft_energy_ev_per_atom": -4.298,
  "e_form_raw_ev_per_atom": 1.136,
  "lattice": [[-3.7275, 0.9999, 2.0700], [-1.6737, -3.8836, -1.1379], [1.6311, -1.8214, 3.8170]],
  "species": ["Sr", "Bi", "O", "N", "N"],
  "frac_coords": [[0.0000, 0.0000, 0.0000], [0.5000, 0.5000, 0.5000], [0.0000, 0.0000, 0.5000], [0.0000, 0.5000, 0.0000], [0.5000, 0.0000, 0.0000]]
}



{
  "formula": "Sr6Bi2NO",
  "functional": "PBE",
  "state": "relaxed",
  "magnetic_moment_mub_per_cell": 0.0,
  "dft_energy_ev_per_atom": -4.315,
  "e_form_raw_ev_per_atom": -1.202,
  "lattice": [[-3.6361, -5.2212, -3.8470], [2.8945, -5.2532, 4.3939], [-8.1185, 0.9109, 6.4371]],
  "species": ["Sr", "Sr", "Sr", "Sr", "Sr", "Sr", "Sr", "Sr", "Sr", "Sr", "Sr", "Sr", "Bi", "Bi", "Bi", "Bi", "N", "N", "O", "O"],
  "frac_coords": [[0.5000, 0.2499, 0.2515], [0.5000, 0.2499, 0.7485], [0.0000, 0.7501, 0.2485], [0.0000, 0.7501, 0.7515], [0.2526, 0.0023, 0.5000], [0.7474, 0.0023, 0.5000], [0.2525, 0.4972, 0.5000], [0.7475, 0.4972, 0.5000], [0.7525, 0.5028, 0.0000], [0.2475, 0.5028, 0.0000], [0.2474, 0.9977, 0.0000], [0.7526, 0.9977, 0.0000], [0.5000, 0.7500, 0.2500], [0.0000, 0.2500, 0.7500], [0.5000, 0.7500, 0.7500], [0.0000, 0.2500, 0.2500], [0.5000, 0.2498, 0.5000], [0.0000, 0.7502, 0.0000], [0.0000, 0.7498, 0.5000], [0.5000, 0.2502, 0.0000]]
}



{
  "formula": "TaBiNO2",
  "functional": "PBE",
  "state": "relaxed",
  "magnetic_moment_mub_per_cell": 2.4,
  "dft_energy_ev_per_atom": -6.004,
  "e_form_raw_ev_per_atom": 0.791,
  "lattice": [[-0.7015, 1.1659, 3.9792], [-0.6585, -4.0158, 1.0605], [4.2318, -0.4612, 0.8811]],
  "species": ["N", "Bi", "O", "O", "Ta"],
  "frac_coords": [[0.0000, 0.0000, 0.5000], [0.0000, 0.0000, 0.0000], [0.0000, 0.5000, 0.0000], [0.5000, 0.0000, 0.0000], [0.5000, 0.5000, 0.5000]]
}



{
  "formula": "TaBiNO2",
  "functional": "PBE",
  "state": "relaxed",
  "magnetic_moment_mub_per_cell": 0.0,
  "dft_energy_ev_per_atom": -8.037,
  "e_form_raw_ev_per_atom": -1.242,
  "lattice": [[-1.4721, 0.1447, 3.7418], [3.2619, -1.9250, 1.3578], [1.9231, 3.6916, 0.6138]],
  "species": ["N", "Bi", "O", "O", "Ta"],
  "frac_coords": [[0.0000, 0.0000, 0.5000], [0.5000, 0.5000, 0.5000], [0.0000, 0.5000, 0.0000], [0.5000, 0.0000, 0.0000], [0.0000, 0.0000, 0.0000]]
}



{
  "formula": "TaBi2NO",
  "functional": "PBE",
  "state": "relaxed",
  "magnetic_moment_mub_per_cell": 0.0,
  "dft_energy_ev_per_atom": -5.761,
  "e_form_raw_ev_per_atom": 0.819,
  "lattice": [[5.1437, 0.0000, 0.0000], [0.0000, 3.9022, 0.0000], [0.0000, 0.0000, 5.1437]],
  "species": ["N", "Bi", "Bi", "O", "Ta"],
  "frac_coords": [[0.5000, 0.5000, 0.5000], [0.0000, 0.0000, 0.5000], [0.5000, 0.0000, 0.0000], [0.0000, 0.0000, 0.0000], [0.0000, 0.5000, 0.0000]]
}



{
  "formula": "TcBiNO2",
  "functional": "PBE",
  "state": "relaxed",
  "magnetic_moment_mub_per_cell": 4.7,
  "dft_energy_ev_per_atom": -5.694,
  "e_form_raw_ev_per_atom": 0.804,
  "lattice": [[-2.2514, -3.5355, 0.2379], [1.2522, -0.5302, 3.9719], [-3.4288, 2.2767, 1.3849]],
  "species": ["N", "Bi", "O", "O", "Tc"],
  "frac_coords": [[0.0000, 0.0000, 0.5000], [0.0000, 0.0000, 0.0000], [0.0000, 0.5000, 0.0000], [0.5000, 0.0000, 0.0000], [0.5000, 0.5000, 0.5000]]
}



{
  "formula": "TcBiNO2",
  "functional": "PBE",
  "state": "relaxed",
  "magnetic_moment_mub_per_cell": 0.2,
  "dft_energy_ev_per_atom": -6.902,
  "e_form_raw_ev_per_atom": -0.405,
  "lattice": [[4.0273, 0.0000, 0.0000], [0.0000, 4.0273, 0.0000], [0.0000, 0.0000, 3.9104]],
  "species": ["N", "Bi", "O", "O", "Tc"],
  "frac_coords": [[0.0000, 0.0000, 0.5000], [0.5000, 0.5000, 0.5000], [0.0000, 0.5000, 0.0000], [0.5000, 0.0000, 0.0000], [0.0000, 0.0000, 0.0000]]
}



{
  "formula": "BiTeN2O",
  "functional": "PBE",
  "state": "relaxed",
  "magnetic_moment_mub_per_cell": 0.0,
  "dft_energy_ev_per_atom": -4.523,
  "e_form_raw_ev_per_atom": 1.203,
  "lattice": [[4.3797, 0.0000, 0.0000], [0.0000, 4.3797, 0.0000], [0.0000, 0.0000, 4.1472]],
  "species": ["Te", "Bi", "O", "N", "N"],
  "frac_coords": [[0.5000, 0.5000, 0.5000], [0.0000, 0.0000, 0.0000], [0.0000, 0.0000, 0.5000], [0.0000, 0.5000, 0.0000], [0.5000, 0.0000, 0.0000]]
}



{
  "formula": "BiTeN2O",
  "functional": "PBE",
  "state": "relaxed",
  "magnetic_moment_mub_per_cell": 0.0,
  "dft_energy_ev_per_atom": -5.090,
  "e_form_raw_ev_per_atom": 0.636,
  "lattice": [[-0.1982, -4.0771, 0.9345], [0.2465, -0.9454, -4.0720], [4.0180, -0.1325, 0.2740]],
  "species": ["Te", "Bi", "O", "N", "N"],
  "frac_coords": [[0.0000, 0.0000, 0.0000], [0.5000, 0.5000, 0.5000], [0.0000, 0.0000, 0.5000], [0.0000, 0.5000, 0.0000], [0.5000, 0.0000, 0.0000]]
}



{
  "formula": "BiTeN2O",
  "functional": "PBE",
  "state": "relaxed",
  "magnetic_moment_mub_per_cell": 2.0,
  "dft_energy_ev_per_atom": -3.797,
  "e_form_raw_ev_per_atom": 1.930,
  "lattice": [[-3.8705, -0.1052, -1.4246], [0.8951, -3.3851, -2.1821], [-1.8141, -3.8398, 5.2124]],
  "species": ["Te", "Bi", "O", "N", "N"],
  "frac_coords": [[0.0000, 0.0000, 0.5000], [0.0000, 0.0000, 0.0000], [0.5000, 0.5000, 0.5000], [0.0000, 0.5000, 0.0000], [0.5000, 0.0000, 0.0000]]
}



{
  "formula": "BiTeN2O",
  "functional": "PBE",
  "state": "relaxed",
  "magnetic_moment_mub_per_cell": 0.5,
  "dft_energy_ev_per_atom": -4.005,
  "e_form_raw_ev_per_atom": 1.721,
  "lattice": [[-2.9480, 3.0012, 1.0117], [-2.7849, -1.7982, -2.7806], [-1.4504, -2.4480, 3.0357]],
  "species": ["Te", "Bi", "O", "N", "N"],
  "frac_coords": [[0.0000, 0.0000, 0.5000], [0.5000, 0.5000, 0.5000], [0.0000, 0.0000, 0.0000], [0.0000, 0.5000, 0.0000], [0.5000, 0.0000, 0.0000]]
}



{
  "formula": "TiBiN2O",
  "functional": "PBE",
  "state": "relaxed",
  "magnetic_moment_mub_per_cell": 0.8,
  "dft_energy_ev_per_atom": -5.785,
  "e_form_raw_ev_per_atom": 0.892,
  "lattice": [[-1.9954, -2.9250, -2.3402], [3.5402, -2.3392, -0.0949], [-1.2006, -1.9579, 3.4709]],
  "species": ["N", "N", "Bi", "O", "Ti"],
  "frac_coords": [[0.0000, 0.5000, 0.0000], [0.5000, 0.0000, 0.0000], [0.0000, 0.0000, 0.0000], [0.0000, 0.0000, 0.5000], [0.5000, 0.5000, 0.5000]]
}



{
  "formula": "TiBiN2O",
  "functional": "PBE",
  "state": "relaxed",
  "magnetic_moment_mub_per_cell": 0.0,
  "dft_energy_ev_per_atom": -7.188,
  "e_form_raw_ev_per_atom": -0.511,
  "lattice": [[-0.9416, -3.9012, -0.3054], [3.6634, -0.7684, -1.4791], [1.3291, -0.6030, 3.6050]],
  "species": ["N", "N", "Bi", "O", "Ti"],
  "frac_coords": [[0.0000, 0.5000, 0.0000], [0.5000, 0.0000, 0.0000], [0.5000, 0.5000, 0.5000], [0.0000, 0.0000, 0.5000], [0.0000, 0.0000, 0.0000]]
}



{
  "formula": "TiBiN2O",
  "functional": "PBE",
  "state": "relaxed",
  "magnetic_moment_mub_per_cell": 1.7,
  "dft_energy_ev_per_atom": -4.733,
  "e_form_raw_ev_per_atom": 1.944,
  "lattice": [[4.0847, 0.0000, 0.0000], [0.0000, 6.2549, 0.0000], [0.0000, 0.0000, 4.0847]],
  "species": ["N", "N", "Bi", "O", "Ti"],
  "frac_coords": [[0.0000, 0.0000, 0.5000], [0.5000, 0.0000, 0.0000], [0.0000, 0.0000, 0.0000], [0.5000, 0.5000, 0.5000], [0.0000, 0.5000, 0.0000]]
}



{
  "formula": "TlBiN2O",
  "functional": "PBE",
  "state": "relaxed",
  "magnetic_moment_mub_per_cell": 0.6,
  "dft_energy_ev_per_atom": -4.253,
  "e_form_raw_ev_per_atom": 1.319,
  "lattice": [[-2.3328, 3.5869, -0.2665], [-3.0512, -2.1417, -2.1172], [-1.8815, -0.9507, 3.6732]],
  "species": ["Tl", "Bi", "O", "N", "N"],
  "frac_coords": [[0.0000, 0.0000, 0.0000], [0.5000, 0.5000, 0.5000], [0.0000, 0.0000, 0.5000], [0.0000, 0.5000, 0.0000], [0.5000, 0.0000, 0.0000]]
}



{
  "formula": "TlBiN2O",
  "functional": "PBE",
  "state": "relaxed",
  "magnetic_moment_mub_per_cell": 2.3,
  "dft_energy_ev_per_atom": -4.578,
  "e_form_raw_ev_per_atom": 0.993,
  "lattice": [[-1.5510, 0.2468, 4.2233], [0.3784, -4.4720, 0.4003], [4.0521, 0.4736, 1.4604]],
  "species": ["Tl", "Bi", "O", "N", "N"],
  "frac_coords": [[0.5000, 0.5000, 0.5000], [0.0000, 0.0000, 0.0000], [0.0000, 0.0000, 0.5000], [0.0000, 0.5000, 0.0000], [0.5000, 0.0000, 0.0000]]
}